Entry from Alexandria: a geometry-optimized Hg2PCl structure (PBE).

Values from the calculation:
DFT total energy in eV for the cell shown: -6.6
Relative energy among the computed polymorphs in meV/atom: 577
V in A^3/atom: 23.593
Uncorrected formation energy in eV per formula unit: 1.3

Cell lengths 3.352, 3.352, 10.005 Å; angles 90.00, 90.00, 122.92 degrees
Element x y z (fractional)
1 Hg 0.000 0.000 0.000
2 Hg 0.500 0.500 0.286
3 P 0.500 0.500 0.767
4 Cl 0.000 0.000 0.584